A relaxed structure of As2PbAu, computed with PBE.

Calculated values
Energy   -15.85 eV per formula unit
V   95 Å³/f.u.
Symmetry   C2/m (12)
E_form   0.11 eV/atom

Cell and atoms, written as CIF:
```
data_As2PbAu
_chemical_formula_sum 'As2 Pb1 Au1'
_cell_length_a 5.703
_cell_length_b 5.703
_cell_length_c 5.543
_cell_angle_alpha 115.36
_cell_angle_beta 115.36
_cell_angle_gamma 36.36
_symmetry_space_group_name_H-M 'P 1'
_symmetry_Int_Tables_number 1
loop_
_symmetry_equiv_pos_as_xyz
'x,y,z'
loop_
_atom_site_label
_atom_site_type_symbol
_atom_site_fract_x
_atom_site_fract_y
_atom_site_fract_z
As1 As 0.215 0.215 0.134
As2 As 0.785 0.785 0.866
Pb1 Pb 0.000 0.000 0.500
Au1 Au 0.500 0.500 0.000
```



A relaxed structure of BaTcSeBr2, computed with PBE.

Calculated values
Polymorph energy (0 for the lowest one)   0 meV/atom
Energy   -22.87 eV per formula unit
V   138 Å³/f.u.
Formation energy (no corrections)   -0.7508 eV per atom
Symmetry   P4/mmm (123)

Cell and atoms, written as CIF:
```
data_BaTcSeBr2
_chemical_formula_sum 'Ba1 Tc1 Se1 Br2'
_cell_length_a 5.317
_cell_length_b 5.317
_cell_length_c 4.871
_cell_angle_alpha 90.00
_cell_angle_beta 90.00
_cell_angle_gamma 90.00
_symmetry_space_group_name_H-M 'P 1'
_symmetry_Int_Tables_number 1
loop_
_symmetry_equiv_pos_as_xyz
'x,y,z'
loop_
_atom_site_label
_atom_site_type_symbol
_atom_site_fract_x
_atom_site_fract_y
_atom_site_fract_z
Ba1 Ba 0.000 0.000 0.000
Tc1 Tc 0.500 0.500 0.500
Se1 Se 0.500 0.500 0.000
Br1 Br 0.000 0.500 0.500
Br2 Br 0.500 0.000 0.500
```



A relaxed structure of PmY2Cd, computed with PBE.

Calculated values
Polymorph energy (0 for the lowest one)   92 meV/atom
Energy   -18.88 eV per formula unit
V   124 Å³/f.u.
Symmetry   R3m (160)
E_form   -0.07 eV/atom

Cell and atoms, written as CIF:
```
data_PmY2Cd
_chemical_formula_sum 'Pm1 Y2 Cd1'
_cell_length_a 10.976
_cell_length_b 10.976
_cell_length_c 10.976
_cell_angle_alpha 19.13
_cell_angle_beta 19.13
_cell_angle_gamma 19.13
_symmetry_space_group_name_H-M 'P 1'
_symmetry_Int_Tables_number 1
loop_
_symmetry_equiv_pos_as_xyz
'x,y,z'
loop_
_atom_site_label
_atom_site_type_symbol
_atom_site_fract_x
_atom_site_fract_y
_atom_site_fract_z
Pm1 Pm 0.000 0.000 0.000
Y1 Y 0.576 0.576 0.576
Y2 Y 0.757 0.757 0.757
Cd1 Cd 0.166 0.166 0.166
```



A relaxed structure of TePd8Pb4, computed with PBE.

Calculated values
Energy   -62.38 eV per formula unit
V   259 Å³/f.u.
Formation energy (no corrections)   -0.2203 eV per atom
Symmetry   Pmm2 (25)

Cell and atoms, written as CIF:
```
data_TePd8Pb4
_chemical_formula_sum 'Te1 Pd8 Pb4'
_cell_length_a 4.033
_cell_length_b 4.185
_cell_length_c 15.334
_cell_angle_alpha 90.00
_cell_angle_beta 90.00
_cell_angle_gamma 90.00
_symmetry_space_group_name_H-M 'P 1'
_symmetry_Int_Tables_number 1
loop_
_symmetry_equiv_pos_as_xyz
'x,y,z'
loop_
_atom_site_label
_atom_site_type_symbol
_atom_site_fract_x
_atom_site_fract_y
_atom_site_fract_z
Te1 Te 0.000 0.000 0.000
Pd1 Pd 0.000 0.000 0.548
Pd2 Pd 0.000 0.000 0.825
Pd3 Pd 0.000 0.500 0.112
Pd4 Pd 0.000 0.500 0.697
Pd5 Pd 0.500 0.000 0.116
Pd6 Pd 0.500 0.000 0.399
Pd7 Pd 0.500 0.500 0.261
Pd8 Pd 0.500 0.500 0.551
Pb1 Pb 0.000 0.000 0.248
Pb2 Pb 0.000 0.500 0.422
Pb3 Pb 0.500 0.000 0.677
Pb4 Pb 0.500 0.500 0.858
```



A relaxed structure of SrMoP, computed with PBE.

Calculated values
Polymorph energy (0 for the lowest one)   1890 meV/atom
Energy   -14.09 eV per formula unit
V   89 Å³/f.u.
Symmetry   F-43m (216)
E_form   1.28 eV/atom

Cell and atoms, written as CIF:
```
data_SrMoP
_chemical_formula_sum 'Sr1 Mo1 P1'
_cell_length_a 5.005
_cell_length_b 5.005
_cell_length_c 5.005
_cell_angle_alpha 60.00
_cell_angle_beta 60.00
_cell_angle_gamma 60.00
_symmetry_space_group_name_H-M 'P 1'
_symmetry_Int_Tables_number 1
loop_
_symmetry_equiv_pos_as_xyz
'x,y,z'
loop_
_atom_site_label
_atom_site_type_symbol
_atom_site_fract_x
_atom_site_fract_y
_atom_site_fract_z
Sr1 Sr 0.000 0.000 0.000
Mo1 Mo 0.250 0.250 0.250
P1 P 0.750 0.750 0.750
```



A relaxed structure of Co3W, computed with PBE.

Calculated values
Energy   -33.84 eV per formula unit
V   49 Å³/f.u.
Symmetry   P4/mmm (123)
E_form   0.11 eV/atom

Cell and atoms, written as CIF:
```
data_Co3W
_chemical_formula_sum 'Co3 W1'
_cell_length_a 2.659
_cell_length_b 2.659
_cell_length_c 6.870
_cell_angle_alpha 90.00
_cell_angle_beta 90.00
_cell_angle_gamma 90.00
_symmetry_space_group_name_H-M 'P 1'
_symmetry_Int_Tables_number 1
loop_
_symmetry_equiv_pos_as_xyz
'x,y,z'
loop_
_atom_site_label
_atom_site_type_symbol
_atom_site_fract_x
_atom_site_fract_y
_atom_site_fract_z
Co1 Co 0.000 0.000 0.000
Co2 Co 0.500 0.500 0.229
Co3 Co 0.500 0.500 0.771
W1 W 0.000 0.000 0.500
```



A relaxed structure of Cu2TcSnH, computed with PBE.

Calculated values
Energy   -25.36 eV per formula unit
V   62 Å³/f.u.
Symmetry   P4/mmm (123)

Cell and atoms, written as CIF:
```
data_Cu2TcSnH
_chemical_formula_sum 'Cu2 Tc1 Sn1 H1'
_cell_length_a 3.959
_cell_length_b 3.959
_cell_length_c 3.938
_cell_angle_alpha 90.00
_cell_angle_beta 90.00
_cell_angle_gamma 90.00
_symmetry_space_group_name_H-M 'P 1'
_symmetry_Int_Tables_number 1
loop_
_symmetry_equiv_pos_as_xyz
'x,y,z'
loop_
_atom_site_label
_atom_site_type_symbol
_atom_site_fract_x
_atom_site_fract_y
_atom_site_fract_z
Cu1 Cu 0.000 0.500 0.000
Cu2 Cu 0.500 0.000 0.000
Tc1 Tc 0.000 0.000 0.500
Sn1 Sn 0.500 0.500 0.500
H1 H 0.000 0.000 0.000
```



A relaxed structure of PmNd2Mg9, computed with PBE.

Calculated values
Energy   -29.42 eV per formula unit
V   318 Å³/f.u.
Symmetry   R-3m (166)
E_form   -0.07 eV/atom

Cell and atoms, written as CIF:
```
data_PmNd2Mg9
_chemical_formula_sum 'Pm1 Nd2 Mg9'
_cell_length_a 10.524
_cell_length_b 10.524
_cell_length_c 10.524
_cell_angle_alpha 33.58
_cell_angle_beta 33.58
_cell_angle_gamma 33.58
_symmetry_space_group_name_H-M 'P 1'
_symmetry_Int_Tables_number 1
loop_
_symmetry_equiv_pos_as_xyz
'x,y,z'
loop_
_atom_site_label
_atom_site_type_symbol
_atom_site_fract_x
_atom_site_fract_y
_atom_site_fract_z
Pm1 Pm 0.000 0.000 0.000
Nd1 Nd 0.143 0.143 0.143
Nd2 Nd 0.857 0.857 0.857
Mg1 Mg 0.080 0.585 0.585
Mg2 Mg 0.334 0.334 0.334
Mg3 Mg 0.415 0.415 0.920
Mg4 Mg 0.415 0.920 0.415
Mg5 Mg 0.500 0.500 0.500
Mg6 Mg 0.585 0.080 0.585
Mg7 Mg 0.585 0.585 0.080
Mg8 Mg 0.666 0.666 0.666
Mg9 Mg 0.920 0.415 0.415
```



Question: Among the records above, which one has the highest V?
Answer: PmNd2Mg9



Question: Among the records above, which one has the lowest V?
Answer: Co3W



Question: Which value of energy does entry 4 give?
Answer: -62.38 eV per formula unit